1.
Entry from Alexandria via LeMat-Bulk: crystalline MnS4Br2 at its relaxed geometry (PBE).

Structure (POSCAR):
```
MnS4Br2
1.0
13.514 1.210 5.804
5.969 6.097 2.114
4.399 0.389 7.773
Br S Mn
4 8 2
Cartesian
13.768 2.526 10.195
18.126 5.654 10.694
10.302 3.073 9.404
15.007 3.347 6.694
21.645 6.952 14.699
14.043 6.035 6.954
12.234 6.294 10.678
11.514 5.875 5.834
8.506 5.132 4.681
16.997 2.325 12.916
9.505 0.911 5.901
10.519 4.760 4.429
11.763 1.303 10.542
5.586 4.957 2.648
```

Summary:
Formation energy (no corrections) (eV/atom): -0.204
Calculated total energy (eV for the cell shown): -60.9

***

2.
Entry from Alexandria via LeMat-Bulk: crystalline LiBeSbPt2 at its relaxed geometry (PBE).

Structure (POSCAR):
```
LiBeSbPt2
1.0
4.330 0.000 0.000
0.000 4.330 0.000
0.000 0.000 4.477
Pt Sb Be Li
2 1 1 1
Cartesian
0.000 2.165 0.000
2.165 0.000 0.000
0.000 0.000 2.238
2.165 2.165 2.238
0.000 0.000 0.000
```

Summary:
Formation energy (no corrections) (eV/atom): 0.612
Calculated total energy (eV for the cell shown): -18.8

***

3.
Entry from Alexandria via LeMat-Bulk: crystalline Ba3InRu2O9 at its relaxed geometry (PBE).

Structure (POSCAR):
```
Ba3InRu2O9
1.0
5.911 0.000 0.000
-2.955 5.119 0.000
0.000 0.000 14.447
In Ru O Ba
2 4 18 6
Cartesian
0.000 0.000 7.224
0.000 0.000 0.000
0.000 3.413 2.362
2.955 1.706 12.085
0.000 3.413 4.861
2.955 1.706 9.586
2.955 3.344 13.208
4.374 0.887 8.463
0.000 5.010 3.612
0.000 1.775 5.985
1.537 0.887 13.208
-1.418 4.232 1.239
4.374 0.887 13.208
1.572 2.505 10.835
1.383 2.614 3.612
1.537 0.887 8.463
1.418 4.232 1.239
-1.383 2.614 3.612
1.418 4.232 5.985
2.955 0.109 10.835
2.955 3.344 8.463
4.339 2.505 10.835
-1.418 4.232 5.985
0.000 1.775 1.239
0.000 0.000 10.835
2.955 1.706 5.946
2.955 1.706 1.277
0.000 0.000 3.612
0.000 3.413 8.501
0.000 3.413 13.170
```

Summary:
Formation energy (no corrections) (eV/atom): -1.841
Energy relative to the lowest polymorph listed for this composition (eV per formula unit): 0.00
Calculated total energy (eV for the cell shown): -198.6

***

4.
Entry from Alexandria via LeMat-Bulk: crystalline Cs3Cu2PdI6 at its relaxed geometry (PBE).

Structure (POSCAR):
```
Cs3Cu2PdI6
1.0
-4.559 -3.354 6.216
6.530 -4.234 -3.180
5.946 4.196 6.625
I Cu Pd Cs
6 2 1 3
Cartesian
1.307 -0.605 9.277
6.610 -2.787 0.384
4.236 -4.533 3.621
3.681 1.142 6.040
4.708 -2.810 7.621
3.209 -0.582 2.040
4.610 -2.687 1.932
3.307 -0.705 7.730
2.973 2.098 3.312
0.000 0.000 0.000
6.733 -1.189 4.297
1.184 -2.203 5.364
```

Summary:
Formation energy (no corrections) (eV/atom): -0.731
Calculated total energy (eV for the cell shown): -34.0